# 1
# PBE-GGA La3Sm2ScTe6, optimized geometry
# Formation energy from raw total energies = -1.435 eV per atom
# E = -66.62 eV/f.u.
data_La3Sm2ScTe6
_symmetry_space_group_name_H-M 'C 1 2/m 1'
_symmetry_Int_Tables_number 12
_cell_length_a 19.4551
_cell_length_b 4.4550
_cell_length_c 8.9714
_cell_angle_alpha 90.00
_cell_angle_beta 103.18
_cell_angle_gamma 90.00
loop_
_symmetry_equiv_pos_as_xyz
'x,y,z'
'-x,-y,-z'
'-x,y,-z'
'x,-y,z'
'x+1/2,y+1/2,z'
'-x+1/2,-y+1/2,-z'
'-x+1/2,y+1/2,-z'
'x+1/2,-y+1/2,z'
loop_
_atom_site_label
_atom_site_fract_x
_atom_site_fract_y
_atom_site_fract_z
La1 0.0000 0.0000 0.0000
La2 0.1720 0.5000 0.3356
Sm1 0.1672 0.5000 0.8332
Sc1 0.0000 0.0000 0.5000
Te1 0.0003 0.5000 0.2704
Te2 0.1565 0.0000 0.5836
Te3 0.1681 0.0000 0.0778

=====

# 2
# PBE-GGA Tc2TeMo, optimized geometry
# Formation energy from raw total energies = 0.401 eV per atom
# E = -33.10 eV/f.u.
data_Tc2TeMo
_symmetry_space_group_name_H-M 'P m m m'
_symmetry_Int_Tables_number 47
_cell_length_a 3.0655
_cell_length_b 4.0778
_cell_length_c 5.3546
_cell_angle_alpha 90.00
_cell_angle_beta 90.00
_cell_angle_gamma 90.00
loop_
_symmetry_equiv_pos_as_xyz
'x,y,z'
'-x,-y,-z'
'-x,-y,z'
'x,y,-z'
'x,-y,-z'
'-x,y,z'
'-x,y,-z'
'x,-y,z'
loop_
_atom_site_label
_atom_site_fract_x
_atom_site_fract_y
_atom_site_fract_z
Tc1 0.0000 0.0000 0.2337
Te1 0.5000 0.5000 0.5000
Mo1 0.5000 0.5000 0.0000

=====

# 3
# PBE-GGA Ac5La6Dy2, optimized geometry
# E = -58.42 eV/f.u.
# E_form = 0.068 eV/atom
data_Ac5La6Dy2
_symmetry_space_group_name_H-M 'P b a m'
_symmetry_Int_Tables_number 55
_cell_length_a 12.1647
_cell_length_b 22.2313
_cell_length_c 3.8342
_cell_angle_alpha 90.00
_cell_angle_beta 90.00
_cell_angle_gamma 90.00
loop_
_symmetry_equiv_pos_as_xyz
'x,y,z'
'-x,-y,-z'
'-x,-y,z'
'x,y,-z'
'x+1/2,-y+1/2,-z'
'-x+1/2,y+1/2,z'
'-x+1/2,y+1/2,-z'
'x+1/2,-y+1/2,z'
loop_
_atom_site_label
_atom_site_fract_x
_atom_site_fract_y
_atom_site_fract_z
Ac1 0.0000 0.0000 0.0000
Ac2 0.0633 0.4232 0.0000
Ac3 0.1463 0.7224 0.0000
La1 0.0824 0.1528 0.0000
La2 0.1659 0.8808 0.5000
La3 0.2245 0.5556 0.5000
Dy1 0.1149 0.2843 0.5000